! CsZn2Au2 PBE optimized geometry; values from VASP
&SYSTEM
  ibrav = 0, nat = 10, ntyp = 3
/
ATOMIC_SPECIES
Au 196.97 Au.upf
Zn 65.41 Zn.upf
Cs 132.91 Cs.upf
CELL_PARAMETERS angstrom
-1.998 -7.546 -3.543
-2.116 -3.065 7.721
-2.929 0.972 -0.417
ATOMIC_POSITIONS angstrom
Au -2.483 -2.569 -0.176
Au -4.561 -7.070 3.936
Au -3.182 -2.746 4.321
Au -3.862 -6.893 -0.560
Zn -2.638 -5.608 5.465
Zn -1.476 -5.003 -1.287
Zn -1.044 -2.052 2.555
Zn -3.070 -8.559 1.623
Cs 0.000 0.000 0.000
Cs -2.057 -5.305 2.089
! - raw total energy (eV per cell) = -19.79
! - total magnetic moment (μB/f.u.) = 0.000
! - formation energy from the elements (eV/atom) = 0.013
! - N(E_F) (states/eV/atom) = 0.26
! - crystal system = tetragonal